Material: NiSb2Pb
Method: DFT, PBE-GGA
State: relaxed

Output
- electronic total energy (eV/atom) = -4.384
- energy relative to the elements, uncorrected (eV per atom) = 0.05
- N(E_F) (states/eV/cell) = 2.65

```
4
Lattice="8.612 0.852 -0.153 6.761 5.402 0.153 -7.512 -3.556 2.417" Properties=species:S:1:pos:R:3 pbc="T T T"
Sb 3.070 -0.327 1.132
Sb 15.095 6.141 0.000
Pb 4.432 2.879 1.285
Ni 8.325 3.387 0.000
```



Material: MgTc2Sb
Method: DFT, PBE-GGA
State: relaxed

Output
- electronic total energy (eV/atom) = -6.112
- energy relative to the elements, uncorrected (eV per atom) = 0.50
- N(E_F) (states/eV/cell) = 3.41

```
4
Lattice="3.005 0.005 0.000 -1.229 2.742 0.000 0.000 0.000 8.571" Properties=species:S:1:pos:R:3 pbc="T T T"
Mg 0.888 1.374 2.143
Sb 0.888 1.374 6.428
Tc 0.000 0.000 8.487
Tc 0.000 0.000 4.370
```



Material: Li2ZnSiTe4
Method: DFT, PBE-GGA
State: relaxed

Output
- electronic total energy (eV/atom) = -3.416
- energy relative to the elements, uncorrected (eV per atom) = -0.53
- N(E_F) (states/eV/cell) = 0.00

```
8
Lattice="-0.226 -1.386 6.246 -5.779 -2.636 -0.794 5.508 -3.165 -3.784" Properties=species:S:1:pos:R:3 pbc="T T T"
Te -1.181 -2.900 4.144
Te -3.700 -3.442 0.833
Te 0.217 -4.797 0.734
Te 3.388 -2.649 -2.257
Si -1.820 -4.453 2.227
Li 1.182 -2.442 -0.499
Li -0.456 -6.347 -1.425
Zn 2.322 -5.723 2.095
```



Material: Ta2TlPt
Method: DFT, PBE-GGA
State: relaxed

Output
- electronic total energy (eV/atom) = -7.965
- ΔH_f (0 K) (eV per atom) = 0.064
- N(E_F) (states/eV/cell) = 3.21

```
4
Lattice="-3.744 -1.442 -0.962 0.914 -0.527 -2.768 2.624 -6.068 -1.122" Properties=species:S:1:pos:R:3 pbc="T T T"
Tl -0.987 -2.369 -1.453
Ta 2.587 -5.955 -1.145
Ta 1.807 -3.410 -1.922
Pt 0.782 -5.667 -3.398
```



Q: What is the N(E_F) in the second record?
A: 3.41 states/eV/cell



Q: Which of these has the highest N(E_F)?
A: MgTc2Sb